# 1
Density functional theory data (PBE-GGA) for crystalline CoW5 at its relaxed geometry.

Unit cell a=5.2196 b=5.2196 c=4.5510 alpha=90.00 beta=90.00 gamma=120.00
Last column: nearest neighbours and their distance in Å.
Fractional positions:
Co: 0.0000 0.0000 0.0000  6 W 3.01
W: 0.0000 0.5000 0.5000  8 W 2.61-2.73
W: 0.3333 0.6667 0.0000  9 W 2.73-3.01, 3 Co 3.01
W: 0.5000 0.0000 0.5000  8 W 2.61-2.73
W: 0.5000 0.5000 0.5000  8 W 2.61-2.73
W: 0.6667 0.3333 0.0000  9 W 2.73-3.01, 3 Co 3.01

Values from the calculation:
Offset from the most stable computed form, meV/atom: 768
ΔH_f (0 K), eV per atom: 0.92
D(E_F), states/eV/atom: 0.841
Symmetry: No. 191

***

# 2
Density functional theory data (PBE-GGA) for crystalline CoW5 at its relaxed geometry.

Unit cell a=2.6894 b=2.6894 c=12.7833 alpha=90.00 beta=90.00 gamma=90.00
Last column: nearest neighbours and their distance in Å.
Fractional positions:
Co: 0.0000 0.0000 0.0000  8 W 2.63, 4 Co 2.69
W: 0.0000 0.0000 0.3199  12 W 2.69-2.99
W: 0.0000 0.0000 0.6801  12 W 2.69-2.99
W: 0.5000 0.5000 0.1416  4 Co 2.63, 4 W 2.69
W: 0.5000 0.5000 0.5000  12 W 2.69-2.99
W: 0.5000 0.5000 0.8584  4 Co 2.63, 4 W 2.69

Values from the calculation:
Offset from the most stable computed form, meV/atom: 86
ΔH_f (0 K), eV per atom: 0.24
D(E_F), states/eV/atom: 0.725
Symmetry: No. 123